# 1
DFT (PBE) results for TbPuTe2O after structural relaxation.

Cell lengths 4.1666, 4.1666, 15.6506 Å; angles 90.00, 90.00, 90.00 degrees
Last column: nearest neighbours and their distance in Å.
Positions (direct):
Te: 0.5000 0.0000 0.3185  1 Tb 2.92
Te: 0.5000 0.0000 0.9153  5 Tb 3.04-3.39
Te: 0.0000 0.5000 0.0847  5 Tb 3.04-3.39
Te: 0.0000 0.5000 0.6815  1 Tb 2.92
Pu: 0.5000 0.0000 0.5687  4 O 2.34
Pu: 0.0000 0.5000 0.4313  4 O 2.34
Tb: 0.0000 0.5000 0.8683  5 Te 2.92-3.04
Tb: 0.5000 0.0000 0.1317  5 Te 2.92-3.04
O: 0.0000 0.0000 0.5000  4 Pu 2.34
O: 0.5000 0.5000 0.5000  4 Pu 2.34

***

# 2
DFT (PBE) results for Tb2PuTlO8 after structural relaxation.

Cell lengths 5.0232, 5.0244, 7.2168 Å; angles 90.00, 90.00, 93.23 degrees
Last column: nearest neighbours and their distance in Å.
Positions (direct):
O: 0.7066 0.7083 0.0000  1 Pu 2.02
O: 0.1872 0.8114 0.2060  1 Pu 2.02
O: 0.8128 0.1886 0.7940  1 Pu 2.02
O: 0.2987 0.2980 0.5000  1 Tl 2.06, 2 Tb 2.28
O: 0.1871 0.8113 0.7941  1 Pu 2.02
O: 0.8129 0.1887 0.2059  1 Pu 2.02
O: 0.7013 0.7020 0.5000  1 Tl 2.06, 2 Tb 2.28
O: 0.2934 0.2917 0.0000  1 Pu 2.02
Tb: 0.4999 0.5000 0.2504  6 O 2.28-2.31
Tb: 0.5001 0.5000 0.7496  6 O 2.28-2.31
Pu: 0.0000 0.0000 0.0000  6 O 2.02
Tl: 0.0000 0.0000 0.5000  2 O 2.06

***

# 3
DFT (PBE) results for TbPuTl2O8 after structural relaxation.

Cell lengths 5.2403, 5.2340, 6.8226 Å; angles 90.00, 90.00, 92.63 degrees
Last column: nearest neighbours and their distance in Å.
Positions (direct):
O: 0.7033 0.7046 0.0000  1 Pu 2.14, 2 Tl 2.26
O: 0.1712 0.8275 0.7829  1 Pu 1.97
O: 0.2967 0.2954 0.0000  1 Pu 2.14, 2 Tl 2.26
O: 0.1712 0.8275 0.2171  1 Pu 1.97
O: 0.3056 0.3046 0.5000  2 Tl 2.20, 1 Tb 2.21
O: 0.8288 0.1725 0.2171  1 Pu 1.97
O: 0.8288 0.1725 0.7829  1 Pu 1.97
O: 0.6944 0.6954 0.5000  2 Tl 2.20, 1 Tb 2.21
Tb: 0.0000 0.0000 0.5000  6 O 2.21-2.33
Pu: 0.0000 0.0000 0.0000  6 O 1.97-2.14
Tl: 0.5000 0.5000 0.2518  4 O 2.20-2.26
Tl: 0.5000 0.5000 0.7482  4 O 2.20-2.26

***

# 4
DFT (PBE) results for TbPuUO6 after structural relaxation.

Cell lengths 5.8166, 5.8166, 9.3876 Å; angles 90.00, 90.00, 120.00 degrees
Last column: nearest neighbours and their distance in Å.
Positions (direct):
U: 0.6667 0.3333 0.2500  6 O 2.13
U: 0.3333 0.6667 0.7500  6 O 2.13
O: 0.0222 0.3521 0.6327  1 U 2.13, 1 Tb 2.30, 1 Pu 2.34
O: 0.6479 0.9778 0.8673  1 U 2.13, 1 Tb 2.30, 1 Pu 2.34
O: 0.9778 0.3299 0.1327  1 U 2.13, 1 Tb 2.30, 1 Pu 2.34
O: 0.3299 0.9778 0.6327  1 U 2.13, 1 Tb 2.30, 1 Pu 2.34
O: 0.3299 0.3521 0.8673  1 U 2.13, 1 Tb 2.30, 1 Pu 2.34
O: 0.6701 0.0222 0.3673  1 U 2.13, 1 Tb 2.30, 1 Pu 2.34
O: 0.6479 0.6701 0.6327  1 U 2.13, 1 Tb 2.30, 1 Pu 2.34
O: 0.3521 0.3299 0.3673  1 U 2.13, 1 Tb 2.30, 1 Pu 2.34
O: 0.3521 0.0222 0.1327  1 U 2.13, 1 Tb 2.30, 1 Pu 2.34
O: 0.9778 0.6479 0.3673  1 U 2.13, 1 Tb 2.30, 1 Pu 2.34
O: 0.0222 0.6701 0.8673  1 U 2.13, 1 Tb 2.30, 1 Pu 2.34
O: 0.6701 0.6479 0.1327  1 U 2.13, 1 Tb 2.30, 1 Pu 2.34
Pu: 0.0000 0.0000 0.5000  6 O 2.34
Pu: 0.0000 0.0000 0.0000  6 O 2.34
Tb: 0.3333 0.6667 0.2500  6 O 2.30
Tb: 0.6667 0.3333 0.7500  6 O 2.30

***

Total energy / Ry per atom: -0.5804 -0.5837 -0.5229 -0.7241
M_tot / μB per formula unit: 4.835 1.000 0.993 5.000
ΔE_f (raw) / eV per atom: -1.86 -2.47 -1.83 -3.19